Record 1
A plane-wave DFT calculation with PBE-GGA was carried out for an optimized crystal structure of Tb5ErSc4.

Output
The formation energy comes out at 0.338 eV/atom. As for the size of the total moment: 0.000 μB per atom.

```
data_Tb5ErSc4
_cell_length_a 9.808
_cell_length_b 9.808
_cell_length_c 6.151
_cell_angle_alpha 90.00
_cell_angle_beta 90.00
_cell_angle_gamma 90.00
_space_group_name_H-M_alt 'I 4'
_space_group_IT_number 79
_space_group_name_Hall 'I 4'
loop_
_atom_site_label
_atom_site_fract_x
_atom_site_fract_y
_atom_site_fract_z
_atom_site_occupancy
Tb1 0.000 0.000 0.000 1
Tb2 0.147 0.755 0.272 1
Er1 0.000 0.000 0.542 1
Sc1 0.056 0.643 0.771 1
```

Record 2
A plane-wave DFT calculation with PBE-GGA was carried out for an optimized crystal structure of Tb3Er3Sc.

Output
The formation energy comes out at 0.164 eV/atom. As for the size of the total moment: 0.000 μB per atom.

```
data_Tb3Er3Sc
_cell_length_a 6.1090
_cell_length_b 6.1090
_cell_length_c 41.3074
_cell_angle_alpha 90.00
_cell_angle_beta 90.00
_cell_angle_gamma 120.00
_space_group_name_H-M_alt 'R -3'
_space_group_IT_number 148
_space_group_name_Hall '-R 3'
loop_
_atom_site_label
_atom_site_fract_x
_atom_site_fract_y
_atom_site_fract_z
_atom_site_occupancy
Tb1 0.0002 0.3309 0.1315 1
Er1 0.0001 0.3346 0.9370 1
Sc1 0.0000 0.0000 0.3333 1
```